Version one
Compound: TbPmNd
Source: Alexandria
Functional: GGA-PBE
Structure: optimized geometry

Computed properties:
N(E_F)   4.56 states/eV/f.u.
Space-group type   No. 186

Lattice parameters (Å, degrees): 3.5765 3.5765 18.6254 90.00 90.00 120.00
Fractional coordinates of all 6 atoms:
Tb 0.0000 0.0000 0.0000
Tb 0.0000 0.0000 0.5000
Pm 0.3333 0.6667 0.1547
Pm 0.6667 0.3333 0.6547
Nd 0.3333 0.6667 0.3439
Nd 0.6667 0.3333 0.8439

***

Version two
Compound: TbPmNd
Source: Alexandria
Functional: GGA-PBE
Structure: optimized geometry

Computed properties:
N(E_F)   3.82 states/eV/f.u.
Space-group type   No. 8

Lattice parameters (Å, degrees): 6.2975 3.6392 9.1438 90.00 103.54 90.00
Fractional coordinates of all 6 atoms:
Tb 0.0000 0.0000 0.0000
Tb 0.5000 0.5000 0.0000
Pm 0.2217 0.0000 0.6729
Pm 0.7217 0.5000 0.6729
Nd 0.2800 0.5000 0.3304
Nd 0.7800 0.0000 0.3304

***

Stability order, top to bottom: version two, version one

***

Version one
Compound: Tb5PmNd2
Source: Alexandria
Functional: GGA-PBE
Structure: optimized geometry

Computed properties:
N(E_F)   12.12 states/eV/f.u.
Space-group type   No. 15

Lattice parameters (Å, degrees): 9.6181 9.6181 6.5502 97.06 97.06 62.58
Fractional coordinates of all 16 atoms:
Tb 0.0586 0.9414 0.7500
Tb 0.1084 0.2873 0.0238
Tb 0.2873 0.1084 0.5238
Tb 0.3129 0.4895 0.8556
Tb 0.4895 0.3129 0.3556
Tb 0.5105 0.6871 0.6444
Tb 0.6871 0.5105 0.1444
Tb 0.7127 0.8916 0.4762
Tb 0.8916 0.7127 0.9762
Tb 0.9414 0.0586 0.2500
Pm 0.0000 0.5000 0.5000
Pm 0.5000 0.0000 0.0000
Nd 0.1752 0.6689 0.3841
Nd 0.3311 0.8248 0.1159
Nd 0.6689 0.1752 0.8841
Nd 0.8248 0.3311 0.6159

***

Version two
Compound: Tb5PmNd2
Source: Alexandria
Functional: GGA-PBE
Structure: optimized geometry

Computed properties:
N(E_F)   11.21 states/eV/f.u.
Space-group type   No. 55

Lattice parameters (Å, degrees): 7.2044 14.4116 5.0920 90.00 90.00 90.00
Fractional coordinates of all 16 atoms:
Tb 0.0000 0.0000 0.0000
Tb 0.0008 0.2494 0.0000
Tb 0.2494 0.6254 0.5000
Tb 0.2506 0.1254 0.5000
Tb 0.4992 0.7494 0.0000
Tb 0.5000 0.5000 0.0000
Tb 0.5008 0.2506 0.0000
Tb 0.7494 0.8746 0.5000
Tb 0.7506 0.3746 0.5000
Tb 0.9992 0.7506 0.0000
Pm 0.0000 0.5000 0.0000
Pm 0.5000 0.0000 0.0000
Nd 0.2490 0.8746 0.5000
Nd 0.2510 0.3746 0.5000
Nd 0.7490 0.6254 0.5000
Nd 0.7510 0.1254 0.5000

***

Stability order, top to bottom: version two, version one

***

Version one
Compound: TbPm3Nd4
Source: Alexandria
Functional: GGA-PBE
Structure: optimized geometry

Computed properties:
N(E_F)   14.02 states/eV/f.u.
Space-group type   No. 31

Lattice parameters (Å, degrees): 11.8283 7.3814 6.3832 90.00 90.00 90.00
Fractional coordinates of all 16 atoms:
Tb 0.0000 0.1240 0.0000
Tb 0.5000 0.8760 0.5000
Pm 0.0000 0.8759 0.4990
Pm 0.2501 0.1235 0.6678
Pm 0.2499 0.8765 0.1678
Pm 0.5000 0.1241 0.9990
Pm 0.7499 0.1235 0.6678
Pm 0.7501 0.8765 0.1678
Nd 0.0000 0.3742 0.5014
Nd 0.0000 0.6262 0.9990
Nd 0.2485 0.3736 0.1670
Nd 0.2515 0.6264 0.6670
Nd 0.5000 0.3738 0.4990
Nd 0.5000 0.6258 0.0014
Nd 0.7485 0.6264 0.6670
Nd 0.7515 0.3736 0.1670

***

Version two
Compound: TbPm3Nd4
Source: Alexandria
Functional: GGA-PBE
Structure: optimized geometry

Computed properties:
N(E_F)   13.25 states/eV/f.u.
Space-group type   No. 12

Lattice parameters (Å, degrees): 23.8120 3.5252 6.9492 90.00 106.92 90.00
Fractional coordinates of all 16 atoms:
Tb 0.0000 0.0000 0.0000
Tb 0.5000 0.5000 0.0000
Pm 0.0000 0.5000 0.5000
Pm 0.1236 0.5000 0.8831
Pm 0.3764 0.0000 0.1169
Pm 0.5000 0.0000 0.5000
Pm 0.6236 0.0000 0.8831
Pm 0.8764 0.5000 0.1169
Nd 0.1237 0.5000 0.3649
Nd 0.2415 0.0000 0.2402
Nd 0.2585 0.5000 0.7598
Nd 0.3763 0.0000 0.6351
Nd 0.6237 0.0000 0.3649
Nd 0.7415 0.5000 0.2402
Nd 0.7585 0.0000 0.7598
Nd 0.8763 0.5000 0.6351

***

Stability order, top to bottom: version one, version two

***

Version one
Compound: Tb4Pm5Nd3
Source: Alexandria
Functional: GGA-PBE
Structure: optimized geometry

Computed properties:
N(E_F)   19.34 states/eV/f.u.
Space-group type   No. 12

Lattice parameters (Å, degrees): 8.6805 8.6805 9.3783 114.35 114.35 40.59
Fractional coordinates of all 12 atoms:
Tb 0.0818 0.0818 0.4417
Tb 0.2118 0.2118 0.8770
Tb 0.7882 0.7882 0.1230
Tb 0.9182 0.9182 0.5583
Pm 0.0000 0.0000 0.0000
Pm 0.3269 0.3269 0.6126
Pm 0.4247 0.4247 0.3014
Pm 0.5753 0.5753 0.6986
Pm 0.6731 0.6731 0.3874
Nd 0.2081 0.2081 0.2276
Nd 0.5000 0.5000 0.0000
Nd 0.7919 0.7919 0.7724

***

Version two
Compound: Tb4Pm5Nd3
Source: Alexandria
Functional: GGA-PBE
Structure: optimized geometry

Computed properties:
N(E_F)   16.35 states/eV/f.u.
Space-group type   No. 2

Lattice parameters (Å, degrees): 6.2863 7.2502 8.8869 90.06 90.06 90.06
Fractional coordinates of all 12 atoms:
Tb 0.1662 0.9996 0.1654
Tb 0.3325 0.2484 0.8345
Tb 0.6675 0.7516 0.1655
Tb 0.8338 0.0004 0.8346
Pm 0.0011 0.2482 0.5003
Pm 0.1667 0.4998 0.1655
Pm 0.5000 0.0000 0.5000
Pm 0.8333 0.5002 0.8345
Pm 0.9989 0.7518 0.4997
Nd 0.3337 0.7520 0.8348
Nd 0.5000 0.5000 0.5000
Nd 0.6663 0.2480 0.1652

***

Stability order, top to bottom: version two, version one

***

Version one
Compound: Tb7Pm2Nd
Source: Alexandria
Functional: GGA-PBE
Structure: optimized geometry

Computed properties:
N(E_F)   16.99 states/eV/f.u.
Space-group type   No. 65

Lattice parameters (Å, degrees): 10.2419 10.2419 3.5346 90.00 90.00 109.16
Fractional coordinates of all 10 atoms:
Tb 0.0000 0.0000 0.0000
Tb 0.1107 0.3714 0.0000
Tb 0.1718 0.8282 0.5000
Tb 0.3714 0.1107 0.0000
Tb 0.6286 0.8893 0.0000
Tb 0.8282 0.1718 0.5000
Tb 0.8893 0.6286 0.0000
Pm 0.3259 0.6741 0.0000
Pm 0.6741 0.3259 0.0000
Nd 0.5000 0.5000 0.5000

***

Version two
Compound: Tb7Pm2Nd
Source: Alexandria
Functional: GGA-PBE
Structure: optimized geometry

Computed properties:
N(E_F)   17.04 states/eV/f.u.
Space-group type   No. 65

Lattice parameters (Å, degrees): 14.8917 14.8917 3.5106 90.00 90.00 154.52
Fractional coordinates of all 10 atoms:
Tb 0.0000 0.0000 0.0000
Tb 0.1531 0.3515 0.0000
Tb 0.3135 0.6865 0.5000
Tb 0.3515 0.1531 0.0000
Tb 0.6485 0.8469 0.0000
Tb 0.6865 0.3135 0.5000
Tb 0.8469 0.6485 0.0000
Pm 0.2067 0.7933 0.0000
Pm 0.7933 0.2067 0.0000
Nd 0.5000 0.5000 0.5000

***

Stability order, top to bottom: version two, version one

***

Version one
Compound: Tb5Pm12Nd2
Source: Alexandria
Functional: GGA-PBE
Structure: optimized geometry

Computed properties:
N(E_F)   25.35 states/eV/f.u.
Space-group type   No. 12

Lattice parameters (Å, degrees): 9.5119 9.5119 8.0492 90.70 90.70 63.80
Fractional coordinates of all 19 atoms:
Tb 0.0000 0.0000 0.0000
Tb 0.2480 0.2480 0.9875
Tb 0.3530 0.3530 0.4203
Tb 0.6470 0.6470 0.5797
Tb 0.7520 0.7520 0.0125
Pm 0.0373 0.5800 0.7079
Pm 0.1602 0.1602 0.6238
Pm 0.1683 0.6198 0.1118
Pm 0.3802 0.8317 0.8882
Pm 0.4200 0.9627 0.2921
Pm 0.4488 0.4488 0.7897
Pm 0.5512 0.5512 0.2103
Pm 0.5800 0.0373 0.7079
Pm 0.6198 0.1683 0.1118
Pm 0.8317 0.3802 0.8882
Pm 0.8398 0.8398 0.3762
Pm 0.9627 0.4200 0.2921
Nd 0.2224 0.7776 0.5000
Nd 0.7776 0.2224 0.5000

***

Version two
Compound: Tb5Pm12Nd2
Source: Alexandria
Functional: GGA-PBE
Structure: optimized geometry

Computed properties:
N(E_F)   26.95 states/eV/f.u.
Space-group type   No. 12

Lattice parameters (Å, degrees): 10.7629 10.7629 6.2449 100.67 100.67 66.20
Fractional coordinates of all 19 atoms:
Tb 0.0000 0.0000 0.0000
Tb 0.2141 0.2141 0.0483
Tb 0.3233 0.3233 0.6418
Tb 0.6767 0.6767 0.3582
Tb 0.7859 0.7859 0.9517
Pm 0.0587 0.5435 0.2989
Pm 0.1229 0.1229 0.4956
Pm 0.1471 0.6457 0.8849
Pm 0.3543 0.8529 0.1151
Pm 0.4442 0.4442 0.2252
Pm 0.4565 0.9413 0.7011
Pm 0.5435 0.0587 0.2989
Pm 0.5558 0.5558 0.7748
Pm 0.6457 0.1471 0.8849
Pm 0.8529 0.3543 0.1151
Pm 0.8771 0.8771 0.5044
Pm 0.9413 0.4565 0.7011
Nd 0.2256 0.7744 0.5000
Nd 0.7744 0.2256 0.5000

***

Stability order, top to bottom: version two, version one